VASP calculation (PBE-GGA) on a relaxed Be2AgPb crystal.

ΔH_f (0 K) ... 0.581 eV per atom
Magnetization ... 0.00 μB/f.u.

a b c (Å): 3.010 4.149 5.687
angles (deg): 90.00 93.12 90.00
Sites, in units of the cell vectors:
1 Be 0.202 0.000 0.342
2 Be 0.798 0.000 0.658
3 Ag 0.500 0.500 0.500
4 Pb 0.000 0.500 0.000